# Ba2AgPd2

Ba2AgPd2 after structural relaxation (PBE, Alexandria via LeMat-Bulk).

Output
For the formation energy from the elements, the calculation gives -0.34 eV/atom. The value obtained for the density is 6.4 Mg/m³.

Cell: 5.980 5.980 5.980 Å, 118.23 118.23 93.09°
Positions (direct):
Ba 0.250 0.750 0.500
Ba 0.750 0.250 0.500
Ag 0.000 0.000 0.000
Pd 0.337 0.337 0.000
Pd 0.663 0.663 0.000